Sr4BiPO: optimized geometry, GGA-PBE.

POSCAR file:
```
Sr4BiPO
1.0
-2.4589 2.4589 8.6825
2.4589 -2.4589 8.6825
2.4589 2.4589 -8.6825
Sr Bi P O
4 1 1 1
direct
0.0000 0.0000 0.0000
0.2003 0.7003 0.5000
0.3577 0.3577 0.0000
0.7003 0.2003 0.5000
0.5530 0.5530 0.0000
0.8233 0.8233 0.0000
0.2173 0.2173 0.0000
```

Calculated values
raw formation energy	-1.51	eV per atom
space group	I4mm (107)
final energy	-4.507	eV/atom


Ac3IrO7: optimized geometry, GGA-PBE.

POSCAR file:
```
Ac3IrO7
1.0
5.8153 -3.8588 0.0000
5.8153 3.8588 0.0000
0.0000 0.0000 7.8730
Ac Ir O
6 2 14
direct
0.0000 0.0000 0.0000
0.0000 0.0000 0.5000
0.0984 0.4637 0.7500
0.4637 0.0984 0.2500
0.5363 0.9016 0.7500
0.9016 0.5363 0.2500
0.5000 0.5000 0.0000
0.5000 0.5000 0.5000
0.0974 0.1628 0.2500
0.1628 0.0974 0.7500
0.1987 0.5567 0.0404
0.1987 0.5567 0.4596
0.4196 0.5804 0.7500
0.4433 0.8013 0.0404
0.4433 0.8013 0.4596
0.5567 0.1987 0.5404
0.5567 0.1987 0.9596
0.5804 0.4196 0.2500
0.8013 0.4433 0.5404
0.8013 0.4433 0.9596
0.8372 0.9026 0.2500
0.9026 0.8372 0.7500
```

Calculated values
raw formation energy	-2.56	eV per atom
space group	Cmcm (63)
final energy	-7.640	eV/atom


HfCl3: optimized geometry, GGA-PBE.

POSCAR file:
```
HfCl3
1.0
0.0000 3.3222 3.3222
3.3222 0.0000 3.3222
3.3222 3.3222 0.0000
Hf Cl
1 3
direct
0.0000 0.0000 0.0000
0.2500 0.2500 0.2500
0.5000 0.5000 0.5000
0.7500 0.7500 0.7500
```

Calculated values
raw formation energy	-0.63	eV per atom
space group	Fm-3m (225)
final energy	-4.504	eV/atom